VASP calculation (PBE) on an optimized crystal structure of Ac2ZrZn. Values from VASP.

Output
Volume: 390.7 Å³/cell
Calculated total energy: -4.0302 eV per atom
ΔH_f (0 K): 46.3 kJ/mol of atoms
Symmetry: R-3m, No. 166

```
&SYSTEM
  ibrav = 0, nat = 12, ntyp = 3
/
ATOMIC_SPECIES
Ac 227.00 Ac.upf
Zr 91.22 Zr.upf
Zn 65.41 Zn.upf
ATOMIC_POSITIONS angstrom
Ac 0.0000 0.0000 3.2703
Ac 0.0000 0.0000 31.8223
Ac 0.0000 2.0700 20.1248
Ac 0.0000 2.0700 26.6653
Ac 1.7927 1.0350 8.4272
Ac 1.7927 1.0350 14.9678
Zr 0.0000 0.0000 0.0000
Zr 0.0000 2.0700 23.3951
Zr 1.7927 1.0350 11.6975
Zn 0.0000 0.0000 17.5463
Zn 0.0000 2.0700 5.8488
Zn 1.7927 1.0350 29.2438
CELL_PARAMETERS angstrom
3.5854 0.0000 0.0000
-1.7927 3.1051 0.0000
0.0000 0.0000 35.0926
```